No. 1
A plane-wave DFT calculation with GGA-PBE was carried out for crystalline RbFe2W at its relaxed geometry.

Cell: 6.0080 6.0080 6.0080 Å, 107.45 107.45 113.59°
Fractional coordinates of all 8 atoms:
Rb 0.0000 0.0000 0.0000
Rb 0.7500 0.2500 0.5000
Fe 0.2002 0.1250 0.5752
Fe 0.3750 0.7998 0.9248
Fe 0.5498 0.6250 0.4248
Fe 0.8750 0.4502 0.0752
W 0.2500 0.7500 0.5000
W 0.5000 0.5000 0.0000

Properties
The calculation puts the volume at 20.79 A^3/atom. Its density of states at the Fermi level is 13.7 states/eV per cell. The calculation puts the energy above the most stable polymorph in this dataset at 0 meV per atom.

***

No. 2
A plane-wave DFT calculation with GGA-PBE was carried out for crystalline RbFe2W at its relaxed geometry.

Cell: 4.5046 4.5046 4.5046 Å, 60.00 60.00 60.00°
Fractional coordinates of all 4 atoms:
Rb 0.0000 0.0000 0.0000
Fe 0.2500 0.2500 0.2500
Fe 0.7500 0.7500 0.7500
W 0.5000 0.5000 0.5000

Properties
The calculation puts the volume at 16.16 A^3/atom. Its density of states at the Fermi level is 5.7 states/eV per cell. The calculation puts the energy above the most stable polymorph in this dataset at 158 meV per atom.

***

No. 3
A plane-wave DFT calculation with GGA-PBE was carried out for crystalline RbFeW2 at its relaxed geometry.

Cell: 8.7760 8.7760 8.7760 Å, 145.69 145.69 49.31°
Fractional coordinates of all 8 atoms:
Rb 0.3750 0.6250 0.7500
Rb 0.6250 0.3750 0.2500
Fe 0.1250 0.8750 0.2500
Fe 0.8750 0.1250 0.7500
W 0.0000 0.0000 0.0000
W 0.0000 0.0000 0.5000
W 0.0000 0.5000 0.0000
W 0.5000 0.0000 0.5000

Properties
The calculation puts the volume at 26.72 A^3/atom. Its density of states at the Fermi level is 12.8 states/eV per cell. The calculation puts the energy above the most stable polymorph in this dataset at 0 meV per atom.

***

No. 4
A plane-wave DFT calculation with GGA-PBE was carried out for crystalline RbFeW2 at its relaxed geometry.

Cell: 4.5310 4.5310 4.5310 Å, 60.00 60.00 60.00°
Fractional coordinates of all 4 atoms:
Rb 0.0000 0.0000 0.0000
Fe 0.5000 0.5000 0.5000
W 0.2500 0.2500 0.2500
W 0.7500 0.7500 0.7500

Properties
The calculation puts the volume at 16.44 A^3/atom. Its density of states at the Fermi level is 3.1 states/eV per cell. The calculation puts the energy above the most stable polymorph in this dataset at 101 meV per atom.

***

No. 5
A plane-wave DFT calculation with GGA-PBE was carried out for crystalline RbZnFeW2 at its relaxed geometry.

Cell: 4.6284 4.6284 5.0079 Å, 90.00 90.00 90.00°
Fractional coordinates of all 5 atoms:
Rb 0.0000 0.0000 0.0000
Zn 0.5000 0.5000 0.0000
Fe 0.5000 0.5000 0.5000
W 0.0000 0.5000 0.5000
W 0.5000 0.0000 0.5000

Properties
The calculation puts the volume at 21.46 A^3/atom. Its density of states at the Fermi level is 4.6 states/eV per cell. For the final energy, the calculation gives -5.79 eV/atom.

***

No. 6
A plane-wave DFT calculation with GGA-PBE was carried out for crystalline RbY3Fe at its relaxed geometry.

Cell: 5.3897 5.3897 5.3897 Å, 90.00 90.00 90.00°
Fractional coordinates of all 5 atoms:
Rb 0.0000 0.0000 0.0000
Y 0.0000 0.0000 0.5000
Y 0.0000 0.5000 0.0000
Y 0.5000 0.0000 0.0000
Fe 0.5000 0.5000 0.5000

Properties
The calculation puts the volume at 31.31 A^3/atom. Its density of states at the Fermi level is 9.4 states/eV per cell. The calculation puts the energy above the most stable polymorph in this dataset at 1461 meV per atom.